# VRuNF2 (GGA+U, optimized geometry)
# M_tot: 3.231 μB per formula unit
# Fermi-level density of states: 2.76 states/eV/f.u.
# energy above the most stable polymorph in this dataset: 103.3 meV per atom
data_VRuNF2
_chemical_formula_sum 'V1 Ru1 N1 F2'
_cell_length_a 4.300
_cell_length_b 4.300
_cell_length_c 3.740
_cell_angle_alpha 90.00
_cell_angle_beta 90.00
_cell_angle_gamma 90.00
_symmetry_space_group_name_H-M 'P 4/m m m'
_symmetry_Int_Tables_number 123
_symmetry_space_group_name_Hall '-P 4 2'
loop_
_atom_site_label
_atom_site_fract_x
_atom_site_fract_y
_atom_site_fract_z
V1 0.000 0.000 0.000
Ru1 0.500 0.500 0.500
N1 0.500 0.500 0.000
F1 0.000 0.500 0.500